# 1
The following is a PBE calculation of a relaxed structure of BaBeGaAu, from OQMD.

Computed properties:
* polymorph energy (0 for the lowest one): 1.048 kcal/mol of atoms
* space group: F-43m, No. 216
* crystal system: cubic

Cell lengths 5.1223, 5.1223, 5.1223 Å; angles 60.00, 60.00, 60.00 degrees
Fractional coordinates of all 4 atoms:
Ba 0.0000 0.0000 0.0000
Be 0.5000 0.5000 0.5000
Ga 0.7500 0.7500 0.7500
Au 0.2500 0.2500 0.2500

---

# 2
The following is a PBE calculation of a relaxed structure of Li6ZrBeF12, from OQMD.

Computed properties:
* total magnetization: 0.00 μB/f.u.
* calculated total energy: -5.4781 eV/atom
* space group: I4_1/amd, No. 141
* crystal system: tetragonal

Cell lengths 10.0602, 10.0602, 10.0602 Å; angles 142.74, 142.74, 53.71 degrees
Fractional coordinates of all 40 atoms:
Li 0.0000 0.2342 0.2342
Li 0.0000 0.7658 0.7658
Li 0.1017 0.3517 0.7500
Li 0.2342 0.0000 0.7342
Li 0.2342 0.5000 0.2342
Li 0.3517 0.1017 0.2500
Li 0.5000 0.2342 0.7342
Li 0.5000 0.7658 0.2658
Li 0.6483 0.8983 0.7500
Li 0.7658 0.0000 0.2658
Li 0.7658 0.5000 0.7658
Li 0.8983 0.6483 0.2500
Zr 0.3750 0.6250 0.7500
Zr 0.6250 0.3750 0.2500
Be 0.1250 0.8750 0.2500
Be 0.8750 0.1250 0.7500
F 0.0190 0.0737 0.9453
F 0.0316 0.5740 0.4577
F 0.0737 0.0190 0.4453
F 0.0737 0.6284 0.0547
F 0.2233 0.7095 0.5138
F 0.2905 0.3043 0.5138
F 0.2905 0.7767 0.9862
F 0.3043 0.2905 0.0138
F 0.3716 0.9263 0.4453
F 0.3837 0.4260 0.9577
F 0.4260 0.3837 0.4577
F 0.4260 0.9684 0.0423
F 0.5740 0.0316 0.9577
F 0.5740 0.6163 0.5423
F 0.6163 0.5740 0.0423
F 0.6284 0.0737 0.5547
F 0.6957 0.7095 0.9862
F 0.7095 0.2233 0.0138
F 0.7095 0.6957 0.4862
F 0.7767 0.2905 0.4862
F 0.9263 0.3716 0.9453
F 0.9263 0.9810 0.5547
F 0.9684 0.4260 0.5423
F 0.9810 0.9263 0.0547

---

# 3
The following is a PBE calculation of a relaxed structure of TbAl4InIr, from OQMD.

Computed properties:
* total magnetization: 0.00 μB/f.u.
* calculated total energy: -5.0637 eV/atom
* space group: P4/mmm, No. 123
* crystal system: tetragonal

Cell lengths 4.3771, 4.3771, 7.0309 Å; angles 90.00, 90.00, 90.00 degrees
Fractional coordinates of all 7 atoms:
Tb 0.0000 0.0000 0.0000
Al 0.0000 0.5000 0.3110
Al 0.0000 0.5000 0.6889
Al 0.5000 0.0000 0.3110
Al 0.5000 0.0000 0.6889
In 0.5000 0.5000 0.0000
Ir 0.0000 0.0000 0.5000